The following is a PBE calculation of a relaxed structure of CaCePu2P4, from Alexandria via LeMat-Bulk.

## Properties
The formation energy comes out at -1.019 eV/atom. The value obtained for the density of states at the Fermi level is 2.47 states/eV per atom. The calculation puts the spin magnetization at 10.0 μB/cell.

Cell: 4.0383 6.9512 9.8866 Å, 44.74 90.00 90.00°
Each line ends with the local moment (μB).
Atoms (fractional coordinates):
Ca: 0.0000 0.5000 0.5000  0.00
Ce: 0.5000 0.5000 0.0000  0.32
Pu: 0.0000 0.0000 0.0000  4.93
Pu: 0.5000 0.0000 0.5000  5.04
P: 0.0000 0.9112 0.7510  -0.11
P: 0.0000 0.0888 0.2490  -0.11
P: 0.5000 0.4065 0.7633  -0.13
P: 0.5000 0.5935 0.2367  -0.13